1.
DFT (PBE) results for Er2TmTl2Cd4 after structural relaxation.

The structure belongs to space group Amm2 (No. 38); the cell edges are 4.5394, 12.9998 and 7.5211 Å and the angles 90.00°, 90.00° and 90.00°. The distinct sites, in fractional coordinates, are Er at (0.0000, 0.2142, 0.0000), Tm at (0.0000, 0.0000, 0.3570), Tl at (0.5000, 0.1663, 0.2857), Cd at (0.0000, 0.0000, 0.7846), Cd at (0.5000, 0.0000, 0.0251) and Cd at (0.5000, 0.1200, 0.6655).

For the magnetization, the calculation gives 0.00 μB/atom. As for the total energy: -49.1 eV for the cell shown.

=====

2.
DFT (PBE) results for YSiPd2 after structural relaxation.

The structure belongs to space group F-43m (No. 216); the cell edges are 6.5689, 6.5689 and 6.5689 Å and the angles 90.00°, 90.00° and 90.00°. The distinct sites, in fractional coordinates, are Y at (0.0000, 0.0000, 0.0000), Si at (0.2500, 0.2500, 0.7500), Pd at (0.0000, 0.0000, 0.5000) and Pd at (0.2500, 0.2500, 0.2500).

For the magnetization, the calculation gives 0.00 μB/atom. As for the total energy: -97.7 eV for the cell shown.

=====

3.
DFT (PBE) results for UPaIn after structural relaxation.

The structure belongs to space group F-43m (No. 216); the cell edges are 6.9956, 6.9956 and 6.9956 Å and the angles 90.00°, 90.00° and 90.00°. The distinct sites, in fractional coordinates, are U at (0.0000, 0.0000, 0.0000), Pa at (0.2500, 0.2500, 0.2500) and In at (0.2500, 0.2500, 0.7500).

For the magnetization, the calculation gives 1.87 μB/atom. As for the total energy: -84.2 eV for the cell shown.

=====

4.
DFT (PBE) results for ZrInAs after structural relaxation.

The structure belongs to space group F-43m (No. 216); the cell edges are 6.7139, 6.7139 and 6.7139 Å and the angles 90.00°, 90.00° and 90.00°. The distinct sites, in fractional coordinates, are Zr at (0.0000, 0.0000, 0.0000), In at (0.2500, 0.2500, 0.2500) and As at (0.2500, 0.2500, 0.7500).

For the magnetization, the calculation gives 0.07 μB/atom. As for the total energy: -62.9 eV for the cell shown.

=====

5.
DFT (PBE) results for MgNbSb after structural relaxation.

The structure belongs to space group F-43m (No. 216); the cell edges are 6.5881, 6.5881 and 6.5881 Å and the angles 90.00°, 90.00° and 90.00°. The distinct sites, in fractional coordinates, are Mg at (0.0000, 0.0000, 0.0000), Nb at (0.0000, 0.0000, 0.5000) and Sb at (0.2500, 0.2500, 0.2500).

For the magnetization, the calculation gives 0.52 μB/atom. As for the total energy: -58.7 eV for the cell shown.

=====

6.
DFT (PBE) results for BeNbAsO after structural relaxation.

The structure belongs to space group Pmc2_1 (No. 26); the cell edges are 2.9428, 6.3143 and 5.8002 Å and the angles 90.00°, 90.00° and 90.00°. The distinct sites, in fractional coordinates, are Be at (0.0000, 0.1384, 0.0000), Nb at (0.5000, 0.4989, 0.7058), As at (0.0000, 0.2220, 0.4581) and O at (0.5000, 0.2281, 0.9583).

For the magnetization, the calculation gives 0.00 μB/atom. As for the total energy: -56.1 eV for the cell shown.